No. 1
KNaBAs2, optimized geometry, DFT GGA-PBE; ΔH_f (0 K) = 1.12 eV per atom; space group = P4/mmm, No. 123
1.0
-0.138 1.194 5.039
3.948 -2.909 0.798
3.142 4.026 -0.868
Na As B K
1 2 1 1
Direct
0.000 0.000 0.000
0.000 0.000 0.500
0.500 0.000 0.000
0.000 0.500 0.000
0.500 0.500 0.500

***

No. 2
K2NbBAs, optimized geometry, DFT GGA-PBE; ΔH_f (0 K) = 1.26 eV per atom; space group = P4/mmm, No. 123
1.0
-1.959 1.430 6.284
-3.526 -0.970 -0.878
1.287 -6.349 1.846
K Nb B As
2 1 1 1
Direct
0.000 0.000 0.500
0.500 0.000 0.000
0.500 0.500 0.500
0.000 0.500 0.000
0.000 0.000 0.000

***

No. 3
KB2AsO6, optimized geometry, DFT GGA-PBE; formation energy without anion corrections = -1.868 eV per atom; space group = C2/c, No. 15
1.0
4.775 0.036 0.037
1.575 8.017 -1.294
1.575 -1.591 7.964
K B As O
2 4 2 12
Direct
0.250 0.855 0.145
0.750 0.145 0.855
0.409 0.754 0.704
0.091 0.296 0.246
0.591 0.246 0.296
0.909 0.704 0.754
0.250 0.341 0.659
0.750 0.659 0.341
0.130 0.163 0.598
0.370 0.402 0.837
0.870 0.837 0.402
0.630 0.598 0.163
0.459 0.677 0.528
0.041 0.472 0.323
0.541 0.323 0.472
0.959 0.528 0.677
0.117 0.791 0.807
0.383 0.193 0.209
0.883 0.209 0.193
0.617 0.807 0.791

***

No. 4
KB2As2S6, optimized geometry, DFT GGA-PBE; formation energy without anion corrections = -0.322 eV per atom; space group = P-1, No. 2
1.0
-2.971 5.447 2.699
-7.411 -0.039 1.128
5.941 -0.576 6.320
K B As S
1 2 2 6
Direct
0.500 0.000 0.500
0.156 0.743 0.765
0.844 0.257 0.235
0.884 0.374 0.995
0.116 0.626 0.005
0.394 0.629 0.864
0.064 0.323 0.210
0.116 0.926 0.681
0.936 0.677 0.790
0.884 0.074 0.319
0.606 0.371 0.136

***

No. 5
LaBAs2, optimized geometry, DFT GGA-PBE; ΔH_f (0 K) = -0.48 eV per atom; space group = I-42d, No. 122
1.0
6.797 0.000 0.000
0.000 6.797 0.000
3.399 3.399 3.520
As B La
4 2 2
Direct
0.518 0.125 0.250
0.232 0.625 0.250
0.375 0.482 0.750
0.875 0.768 0.750
0.500 0.500 0.000
0.250 0.750 0.500
0.000 0.000 0.000
0.750 0.250 0.500

***

No. 6
LaBAs, optimized geometry, DFT GGA-PBE; ΔH_f (0 K) = -0.43 eV per atom; space group = P2_1/c, No. 14
1.0
4.007 0.000 0.000
0.000 9.857 -0.763
0.000 -1.000 6.314
La B As
4 4 4
Direct
0.293 0.652 0.752
0.793 0.848 0.248
0.707 0.348 0.248
0.207 0.152 0.752
0.364 0.928 0.980
0.864 0.572 0.020
0.636 0.072 0.020
0.136 0.428 0.980
0.261 0.600 0.245
0.761 0.900 0.755
0.739 0.400 0.755
0.239 0.100 0.245

***

No. 7
LiLaB2As, optimized geometry, DFT GGA-PBE; ΔH_f (0 K) = 0.59 eV per atom; space group = P4/mmm, No. 123
1.0
-2.864 0.341 -3.259
2.866 -1.852 -2.712
-1.597 -3.925 0.993
As B Li La
1 2 1 1
Direct
0.000 0.000 0.000
0.000 0.000 0.500
0.500 0.000 0.000
0.000 0.500 0.000
0.500 0.500 0.500

***

No. 8
LaBAs2O8, optimized geometry, DFT GGA-PBE; formation energy without anion corrections = -1.590 eV per atom; space group = P-3m1, No. 164
1.0
5.178 0.000 0.000
-2.589 4.485 0.000
0.000 0.000 6.526
La B As O
1 1 2 8
Direct
0.000 0.000 0.500
0.000 0.000 0.000
0.333 0.667 0.773
0.667 0.333 0.227
0.148 0.295 0.835
0.148 0.852 0.835
0.705 0.852 0.835
0.295 0.148 0.165
0.667 0.333 0.488
0.333 0.667 0.512
0.852 0.705 0.165
0.852 0.148 0.165

***

No. 9
La2BAsPd6, optimized geometry, DFT GGA-PBE; ΔH_f (0 K) = -0.75 eV per atom; space group = C2/m, No. 12
1.0
5.823 0.009 -0.003
-0.011 7.173 -0.990
2.909 2.936 4.102
La B As Pd
2 1 1 6
Direct
0.725 0.174 0.550
0.275 0.826 0.450
0.500 0.500 0.000
0.000 0.000 0.000
0.268 0.310 0.464
0.731 0.689 0.044
0.224 0.689 0.044
0.776 0.311 0.956
0.269 0.311 0.956
0.732 0.690 0.536

***

No. 10
LaBAsRh6, optimized geometry, DFT GGA-PBE; ΔH_f (0 K) = -0.18 eV per atom; space group = Imma, No. 74
1.0
-5.057 1.253 -4.002
0.553 -7.703 -3.111
-1.294 1.392 7.464
La B As Rh
2 2 2 12
Direct
0.819 0.569 0.638
0.181 0.431 0.362
0.500 0.500 0.000
0.500 0.000 0.000
0.500 0.000 0.500
0.000 0.000 0.500
0.474 0.724 0.948
0.911 0.161 0.821
0.849 0.112 0.250
0.401 0.638 0.250
0.401 0.112 0.250
0.849 0.638 0.250
0.526 0.276 0.052
0.089 0.839 0.179
0.151 0.888 0.750
0.599 0.362 0.750
0.599 0.888 0.750
0.151 0.362 0.750

***

No. 11
La2BAsRh6, optimized geometry, DFT GGA-PBE; ΔH_f (0 K) = -0.56 eV per atom; space group = P4/mmm, No. 123
1.0
4.506 0.000 0.000
0.000 4.506 0.000
0.000 0.000 8.832
La B As Rh
2 1 1 6
Direct
0.000 0.000 0.736
0.000 0.000 0.264
0.500 0.500 0.500
0.500 0.500 0.000
0.500 0.000 0.000
0.500 0.000 0.500
0.000 0.500 0.000
0.000 0.500 0.500
0.500 0.500 0.729
0.500 0.500 0.271

***

No. 12
La3B2AsRh9, optimized geometry, DFT GGA-PBE; ΔH_f (0 K) = -0.68 eV per atom; space group = P-3m1, No. 164
1.0
6.204 0.000 0.000
-3.102 5.373 0.000
0.000 0.000 7.655
La B As Rh
3 2 1 9
Direct
0.333 0.667 0.668
0.000 0.000 0.000
0.667 0.333 0.332
0.333 0.667 0.145
0.667 0.333 0.855
0.000 0.000 0.500
0.822 0.178 0.685
0.822 0.643 0.685
0.357 0.178 0.685
0.643 0.822 0.315
0.178 0.357 0.315
0.178 0.822 0.315
0.500 0.000 0.000
0.000 0.500 0.000
0.500 0.500 0.000

***

No. 13
LaTa2BAs, optimized geometry, DFT GGA-PBE; ΔH_f (0 K) = 0.22 eV per atom; space group = P4/mmm, No. 123
1.0
-2.751 1.166 3.228
-3.275 0.342 -2.915
-1.200 -4.955 0.767
As La B Ta
1 1 1 2
Direct
0.000 0.000 0.500
0.500 0.500 0.500
0.000 0.000 0.000
0.000 0.500 0.000
0.500 0.000 0.000

***

No. 14
LiBAs, optimized geometry, DFT GGA-PBE; ΔH_f (0 K) = -0.10 eV per atom; space group = Immm, No. 71
1.0
-0.619 -1.103 4.225
3.404 0.323 0.583
-2.151 5.963 -1.060
Li B As
2 2 2
Direct
0.634 0.134 0.269
0.366 0.866 0.731
0.685 0.500 0.000
0.315 0.500 0.000
0.133 0.633 0.266
0.867 0.367 0.734

***

No. 15
LiBAs2, optimized geometry, DFT GGA-PBE; ΔH_f (0 K) = 0.13 eV per atom; space group = I-42d, No. 122
1.0
5.712 0.000 0.000
0.000 5.712 0.000
2.856 2.856 4.414
As B Li
4 2 2
Direct
0.693 0.125 0.250
0.057 0.625 0.250
0.375 0.307 0.750
0.875 0.943 0.750
0.000 0.000 0.000
0.750 0.250 0.500
0.500 0.500 0.000
0.250 0.750 0.500

***

No. 16
Li3BAs, optimized geometry, DFT GGA-PBE; ΔH_f (0 K) = 0.60 eV per atom; ΔE to the lowest computed polymorph = 196 meV/atom; space group = Pm-3m, No. 221
1.0
4.719 0.000 0.000
0.000 4.719 0.000
0.000 0.000 4.719
As B Li
1 1 3
Direct
0.000 0.000 0.000
0.500 0.500 0.500
0.000 0.500 0.000
0.000 0.000 0.500
0.500 0.000 0.000

***

No. 17
Li2BAs2, optimized geometry, DFT GGA-PBE; ΔH_f (0 K) = 0.57 eV per atom; ΔE to the lowest computed polymorph = 465 meV/atom; space group = I4/mmm, No. 139
1.0
-2.955 0.271 -2.756
0.278 -3.981 -0.690
-4.987 -2.772 2.098
As B Li
2 1 2
Direct
0.394 0.394 0.213
0.606 0.606 0.787
0.000 0.000 0.000
0.750 0.250 0.500
0.250 0.750 0.500

***

No. 18
Li3BAs, optimized geometry, DFT GGA-PBE; ΔH_f (0 K) = 0.40 eV per atom; ΔE to the lowest computed polymorph = 0 meV/atom; space group = Pm-3m, No. 221
1.0
-2.199 -1.640 -3.192
3.102 -2.751 -0.724
-1.804 -2.730 2.646
As B Li
1 1 3
Direct
0.500 0.500 0.500
0.000 0.000 0.000
0.000 0.500 0.000
0.000 0.000 0.500
0.500 0.000 0.000

***

No. 19
Li2BAs2, optimized geometry, DFT GGA-PBE; ΔH_f (0 K) = 0.10 eV per atom; ΔE to the lowest computed polymorph = 0 meV/atom; space group = P4/mbm, No. 127
1.0
-1.757 -5.198 -2.595
0.451 -2.826 5.353
-4.053 0.949 0.843
As B Li
4 2 4
Direct
0.339 0.839 0.000
0.839 0.661 0.000
0.661 0.161 0.000
0.161 0.339 0.000
0.000 0.000 0.000
0.500 0.500 0.000
0.162 0.662 0.500
0.662 0.838 0.500
0.838 0.338 0.500
0.338 0.162 0.500